#a
Below is a relaxed AsSe2BrN crystal, with properties calculated at the PBE-GGA level.

- N(E_F) (states/eV/cell) = 4.37
- total magnetic moment (μB/atom) = 0.000

Lattice parameters (Å, degrees): 4.5883 4.5883 4.4130 90.00 90.00 90.00
With the nearest neighbours (Å) after each atom.
Space group P4/mmm (No. 123)
Asymmetric unit:
As 0.0000 0.0000 0.0000 (multiplicity 1)  8 Se 3.18, 4 Br 3.24
Se 0.0000 0.5000 0.5000 (multiplicity 2)  2 N 2.29
Br 0.5000 0.5000 0.0000 (multiplicity 1)  2 N 2.21
N 0.5000 0.5000 0.5000 (multiplicity 1)  2 Br 2.21, 4 Se 2.29

***

#b
Below is a relaxed AsSe2BrN crystal, with properties calculated at the PBE-GGA level.

- N(E_F) (states/eV/cell) = 3.35
- total magnetic moment (μB/atom) = 0.285

Lattice parameters (Å, degrees): 5.1970 5.1970 5.3635 90.00 90.00 90.00
With the nearest neighbours (Å) after each atom.
Space group P4/mmm (No. 123)
Asymmetric unit:
As 0.0000 0.0000 0.0000 (multiplicity 1)  2 Br 2.68
Se 0.0000 0.5000 0.5000 (multiplicity 2)  2 Br 2.60
Br 0.0000 0.0000 0.5000 (multiplicity 1)  4 Se 2.60, 2 As 2.68
N 0.5000 0.5000 0.0000 (multiplicity 1)  4 As 3.67, 8 Se 3.73

***

Stability order, top to bottom: #a, #b

***

#a
Below is a relaxed SiAsBr2N crystal, with properties calculated at the PBE-GGA level.

- N(E_F) (states/eV/cell) = 1.92
- total magnetic moment (μB/atom) = 0.000

Lattice parameters (Å, degrees): 4.4970 4.4970 4.7317 90.00 90.00 90.00
With the nearest neighbours (Å) after each atom.
Space group P4/mmm (No. 123)
Asymmetric unit:
Si 0.0000 0.0000 0.0000 (multiplicity 1)  4 As 3.18, 8 Br 3.26
As 0.5000 0.5000 0.0000 (multiplicity 1)  2 N 2.37
Br 0.0000 0.5000 0.5000 (multiplicity 2)  2 N 2.25
N 0.5000 0.5000 0.5000 (multiplicity 1)  4 Br 2.25, 2 As 2.37

***

#b
Below is a relaxed SiAsBr2N crystal, with properties calculated at the PBE-GGA level.

- N(E_F) (states/eV/cell) = 1.89
- total magnetic moment (μB/atom) = 0.185

Lattice parameters (Å, degrees): 5.1390 5.1390 5.1061 90.00 90.00 90.00
With the nearest neighbours (Å) after each atom.
Space group P4/mmm (No. 123)
Asymmetric unit:
Si 0.0000 0.0000 0.0000 (multiplicity 1)  2 As 2.55, 4 Br 2.57
As 0.0000 0.0000 0.5000 (multiplicity 1)  2 Si 2.55
Br 0.0000 0.5000 0.0000 (multiplicity 2)  2 Si 2.57
N 0.5000 0.5000 0.5000 (multiplicity 1)  8 Br 3.62, 4 As 3.63

***

Stability order, top to bottom: #a, #b

***

#a
Below is a relaxed SnAs2BrN crystal, with properties calculated at the PBE-GGA level.

- N(E_F) (states/eV/cell) = 2.23
- total magnetic moment (μB/atom) = 0.000

Lattice parameters (Å, degrees): 4.4571 4.4571 4.9268 90.00 90.00 90.00
With the nearest neighbours (Å) after each atom.
Space group P4/mmm (No. 123)
Asymmetric unit:
Sn 0.0000 0.0000 0.0000 (multiplicity 1)  4 Br 3.15, 8 As 3.32
As 0.0000 0.5000 0.5000 (multiplicity 2)  2 N 2.23
Br 0.5000 0.5000 0.0000 (multiplicity 1)  2 N 2.46
N 0.5000 0.5000 0.5000 (multiplicity 1)  4 As 2.23, 2 Br 2.46

***

#b
Below is a relaxed SnAs2BrN crystal, with properties calculated at the PBE-GGA level.

- N(E_F) (states/eV/cell) = 3.44
- total magnetic moment (μB/atom) = 1.043

Lattice parameters (Å, degrees): 5.4266 5.4266 5.7766 90.00 90.00 90.00
With the nearest neighbours (Å) after each atom.
Space group P4/mmm (No. 123)
Asymmetric unit:
Sn 0.0000 0.0000 0.0000 (multiplicity 1)  4 As 2.71, 2 Br 2.89
As 0.0000 0.5000 0.0000 (multiplicity 2)  2 Sn 2.71
Br 0.0000 0.0000 0.5000 (multiplicity 1)  2 Sn 2.89
N 0.5000 0.5000 0.5000 (multiplicity 1)  4 Br 3.84, 8 As 3.96

***

Stability order, top to bottom: #a, #b

***

#a
Below is a relaxed SrAs2BrN crystal, with properties calculated at the PBE-GGA level.

- N(E_F) (states/eV/cell) = 4.98
- total magnetic moment (μB/atom) = 0.023

Lattice parameters (Å, degrees): 4.2659 4.2659 6.5843 90.00 90.00 90.00
With the nearest neighbours (Å) after each atom.
Space group P4/mmm (No. 123)
Asymmetric unit:
Sr 0.0000 0.0000 0.0000 (multiplicity 1)  4 Br 3.02
As 0.0000 0.5000 0.5000 (multiplicity 2)  2 N 2.13
Br 0.5000 0.5000 0.0000 (multiplicity 1)  4 Sr 3.02, 2 N 3.29
N 0.5000 0.5000 0.5000 (multiplicity 1)  4 As 2.13

***

#b
Below is a relaxed SrAs2BrN crystal, with properties calculated at the PBE-GGA level.

- N(E_F) (states/eV/cell) = 1.69
- total magnetic moment (μB/atom) = 1.602

Lattice parameters (Å, degrees): 6.5266 6.5266 5.9354 90.00 90.00 90.00
With the nearest neighbours (Å) after each atom.
Space group P4/mmm (No. 123)
Asymmetric unit:
Sr 0.0000 0.0000 0.0000 (multiplicity 1)  2 Br 2.97, 4 As 3.26
As 0.0000 0.5000 0.0000 (multiplicity 2)  2 Sr 3.26
Br 0.0000 0.0000 0.5000 (multiplicity 1)  2 Sr 2.97
N 0.5000 0.5000 0.5000 (multiplicity 1)  8 As 4.41, 4 Br 4.62

***

Stability order, top to bottom: #a, #b

***

#a
Below is a relaxed TcAs2BrN crystal, with properties calculated at the PBE-GGA level.

- N(E_F) (states/eV/cell) = 3.37
- total magnetic moment (μB/atom) = 0.435

Lattice parameters (Å, degrees): 4.7302 4.7302 5.5014 90.00 90.00 90.00
With the nearest neighbours (Å) after each atom.
Space group P4/mmm (No. 123)
Asymmetric unit:
Tc 0.0000 0.0000 0.0000 (multiplicity 1)  4 As 2.37
As 0.0000 0.5000 0.0000 (multiplicity 2)  2 Tc 2.37
Br 0.0000 0.0000 0.5000 (multiplicity 1)  2 Tc 2.75
N 0.5000 0.5000 0.5000 (multiplicity 1)  4 Br 3.34, 8 As 3.63

***

#b
Below is a relaxed TcAs2BrN crystal, with properties calculated at the PBE-GGA level.

- N(E_F) (states/eV/cell) = 3.05
- total magnetic moment (μB/atom) = 0.412

Lattice parameters (Å, degrees): 4.3864 4.3864 4.3052 90.00 90.00 90.00
With the nearest neighbours (Å) after each atom.
Space group P4/mmm (No. 123)
Asymmetric unit:
Tc 0.0000 0.0000 0.0000 (multiplicity 1)  8 As 3.07, 4 Br 3.10
As 0.0000 0.5000 0.5000 (multiplicity 2)  2 N 2.19
Br 0.5000 0.5000 0.0000 (multiplicity 1)  2 N 2.15
N 0.5000 0.5000 0.5000 (multiplicity 1)  2 Br 2.15, 4 As 2.19

***

Stability order, top to bottom: #b, #a

***

#a
Below is a relaxed TeAsBr2N crystal, with properties calculated at the PBE-GGA level.

- N(E_F) (states/eV/cell) = 11.29
- total magnetic moment (μB/atom) = 0.000

Lattice parameters (Å, degrees): 5.3949 5.3949 5.6929 90.00 90.00 90.00
With the nearest neighbours (Å) after each atom.
Space group P4/mmm (No. 123)
Asymmetric unit:
Te 0.0000 0.0000 0.0000 (multiplicity 1)  4 Br 2.70, 2 As 2.85
As 0.0000 0.0000 0.5000 (multiplicity 1)  2 Te 2.85
Br 0.0000 0.5000 0.0000 (multiplicity 2)  2 Te 2.70
N 0.5000 0.5000 0.5000 (multiplicity 1)  4 As 3.81, 8 Br 3.92

***

#b
Below is a relaxed TeAsBr2N crystal, with properties calculated at the PBE-GGA level.

- N(E_F) (states/eV/cell) = 2.82
- total magnetic moment (μB/atom) = 0.000

Lattice parameters (Å, degrees): 4.5665 4.5665 4.9592 90.00 90.00 90.00
With the nearest neighbours (Å) after each atom.
Space group P4/mmm (No. 123)
Asymmetric unit:
Te 0.0000 0.0000 0.0000 (multiplicity 1)  4 As 3.23, 8 Br 3.37
As 0.5000 0.5000 0.0000 (multiplicity 1)  2 N 2.48
Br 0.0000 0.5000 0.5000 (multiplicity 2)  2 N 2.28
N 0.5000 0.5000 0.5000 (multiplicity 1)  4 Br 2.28, 2 As 2.48

***

Stability order, top to bottom: #b, #a

***

#a
Below is a relaxed TeAsBrN2 crystal, with properties calculated at the PBE-GGA level.

- N(E_F) (states/eV/cell) = 4.52
- total magnetic moment (μB/atom) = 0.297

Lattice parameters (Å, degrees): 3.9655 3.9655 8.4277 90.00 90.00 90.00
With the nearest neighbours (Å) after each atom.
Space group P4/mmm (No. 123)
Asymmetric unit:
Te 0.0000 0.0000 0.0000 (multiplicity 1)  4 As 2.80
As 0.5000 0.5000 0.0000 (multiplicity 1)  4 Te 2.80
Br 0.0000 0.0000 0.5000 (multiplicity 1)  4 N 1.98
N 0.0000 0.5000 0.5000 (multiplicity 2)  2 Br 1.98

***

#b
Below is a relaxed TeAsBrN2 crystal, with properties calculated at the PBE-GGA level.

- N(E_F) (states/eV/cell) = 3.28
- total magnetic moment (μB/atom) = 0.151

Lattice parameters (Å, degrees): 3.9225 3.9225 6.1892 90.00 90.00 90.00
With the nearest neighbours (Å) after each atom.
Space group P4/mmm (No. 123)
Asymmetric unit:
Te 0.0000 0.0000 0.0000 (multiplicity 1)  4 Br 2.77, 2 As 3.09
As 0.0000 0.0000 0.5000 (multiplicity 1)  4 N 1.96
Br 0.5000 0.5000 0.0000 (multiplicity 1)  4 Te 2.77
N 0.0000 0.5000 0.5000 (multiplicity 2)  2 As 1.96

***

Stability order, top to bottom: #b, #a

***

#a
Below is a relaxed TiAs2BrN crystal, with properties calculated at the PBE-GGA level.

- N(E_F) (states/eV/cell) = 4.53
- total magnetic moment (μB/atom) = 0.526

Lattice parameters (Å, degrees): 4.9067 4.9067 5.2047 90.00 90.00 90.00
With the nearest neighbours (Å) after each atom.
Space group P4/mmm (No. 123)
Asymmetric unit:
Ti 0.0000 0.0000 0.0000 (multiplicity 1)  4 As 2.45, 2 Br 2.60
As 0.0000 0.5000 0.0000 (multiplicity 2)  2 Ti 2.45
Br 0.0000 0.0000 0.5000 (multiplicity 1)  2 Ti 2.60
N 0.5000 0.5000 0.5000 (multiplicity 1)  4 Br 3.47, 8 As 3.58

***

#b
Below is a relaxed TiAs2BrN crystal, with properties calculated at the PBE-GGA level.

- N(E_F) (states/eV/cell) = 3.57
- total magnetic moment (μB/atom) = 0.106

Lattice parameters (Å, degrees): 4.2161 4.2161 4.8166 90.00 90.00 90.00
With the nearest neighbours (Å) after each atom.
Space group P4/mmm (No. 123)
Asymmetric unit:
Ti 0.0000 0.0000 0.0000 (multiplicity 1)  4 Br 2.98, 8 As 3.20
As 0.0000 0.5000 0.5000 (multiplicity 2)  2 N 2.11
Br 0.5000 0.5000 0.0000 (multiplicity 1)  2 N 2.41
N 0.5000 0.5000 0.5000 (multiplicity 1)  4 As 2.11

***

Stability order, top to bottom: #b, #a

***

#a
Below is a relaxed TlAs2BrN crystal, with properties calculated at the PBE-GGA level.

- N(E_F) (states/eV/cell) = 2.24
- total magnetic moment (μB/atom) = 1.049

Lattice parameters (Å, degrees): 5.4979 5.4979 5.9672 90.00 90.00 90.00
With the nearest neighbours (Å) after each atom.
Space group P4/mmm (No. 123)
Asymmetric unit:
Tl 0.0000 0.0000 0.0000 (multiplicity 1)  4 As 2.75, 2 Br 2.98
As 0.0000 0.5000 0.0000 (multiplicity 2)  2 Tl 2.75
Br 0.0000 0.0000 0.5000 (multiplicity 1)  2 Tl 2.98
N 0.5000 0.5000 0.5000 (multiplicity 1)  4 Br 3.89, 8 As 4.06

***

#b
Below is a relaxed TlAs2BrN crystal, with properties calculated at the PBE-GGA level.

- N(E_F) (states/eV/cell) = 4.09
- total magnetic moment (μB/atom) = 0.000

Lattice parameters (Å, degrees): 4.2826 4.2826 7.7082 90.00 90.00 90.00
With the nearest neighbours (Å) after each atom.
Space group P4/mmm (No. 123)
Asymmetric unit:
Tl 0.0000 0.0000 0.0000 (multiplicity 1)  4 Br 3.03
As 0.0000 0.5000 0.5000 (multiplicity 2)  2 N 2.14
Br 0.5000 0.5000 0.0000 (multiplicity 1)  4 Tl 3.03
N 0.5000 0.5000 0.5000 (multiplicity 1)  4 As 2.14

***

Stability order, top to bottom: #b, #a

***

#a
Below is a relaxed TlAsBr2N crystal, with properties calculated at the PBE-GGA level.

- N(E_F) (states/eV/cell) = 2.65
- total magnetic moment (μB/atom) = 0.224

Lattice parameters (Å, degrees): 5.7329 5.7329 5.6156 90.00 90.00 90.00
With the nearest neighbours (Å) after each atom.
Space group P4/mmm (No. 123)
Asymmetric unit:
Tl 0.0000 0.0000 0.0000 (multiplicity 1)  2 As 2.81, 4 Br 2.87
As 0.0000 0.0000 0.5000 (multiplicity 1)  2 Tl 2.81
Br 0.0000 0.5000 0.0000 (multiplicity 2)  2 Tl 2.87
N 0.5000 0.5000 0.5000 (multiplicity 1)  8 Br 4.01, 4 As 4.05

***

#b
Below is a relaxed TlAsBr2N crystal, with properties calculated at the PBE-GGA level.

- N(E_F) (states/eV/cell) = 3.75
- total magnetic moment (μB/atom) = 0.000

Lattice parameters (Å, degrees): 6.4564 6.4564 3.5818 90.00 90.00 90.00
With the nearest neighbours (Å) after each atom.
Space group P4/mmm (No. 123)
Asymmetric unit:
Tl 0.0000 0.0000 0.0000 (multiplicity 1)  2 Tl 3.58, 8 Br 3.69
As 0.5000 0.5000 0.0000 (multiplicity 1)  2 N 1.79
Br 0.0000 0.5000 0.5000 (multiplicity 2)  2 N 3.23, 2 Br 3.58
N 0.5000 0.5000 0.5000 (multiplicity 1)  2 As 1.79

***

Stability order, top to bottom: #b, #a

***

#a
Below is a relaxed VAsBr2N crystal, with properties calculated at the PBE-GGA level.

- N(E_F) (states/eV/cell) = 5.13
- total magnetic moment (μB/atom) = 0.675

Lattice parameters (Å, degrees): 5.0697 5.0697 4.9173 90.00 90.00 90.00
With the nearest neighbours (Å) after each atom.
Space group P4/mmm (No. 123)
Asymmetric unit:
V 0.0000 0.0000 0.0000 (multiplicity 1)  2 As 2.46, 4 Br 2.53
As 0.0000 0.0000 0.5000 (multiplicity 1)  2 V 2.46
Br 0.0000 0.5000 0.0000 (multiplicity 2)  2 V 2.53
N 0.5000 0.5000 0.5000 (multiplicity 1)  8 Br 3.53, 4 As 3.58

***

#b
Below is a relaxed VAsBr2N crystal, with properties calculated at the PBE-GGA level.

- N(E_F) (states/eV/cell) = 6.33
- total magnetic moment (μB/atom) = 0.042

Lattice parameters (Å, degrees): 4.4190 4.4190 4.6748 90.00 90.00 90.00
With the nearest neighbours (Å) after each atom.
Space group P4/mmm (No. 123)
Asymmetric unit:
V 0.0000 0.0000 0.0000 (multiplicity 1)  4 As 3.12, 8 Br 3.22
As 0.5000 0.5000 0.0000 (multiplicity 1)  2 N 2.34
Br 0.0000 0.5000 0.5000 (multiplicity 2)  2 N 2.21
N 0.5000 0.5000 0.5000 (multiplicity 1)  4 Br 2.21, 2 As 2.34

***

Stability order, top to bottom: #a, #b

***

#a
Below is a relaxed AsWBr2N crystal, with properties calculated at the PBE-GGA level.

- N(E_F) (states/eV/cell) = 3.16
- total magnetic moment (μB/atom) = 0.617

Lattice parameters (Å, degrees): 4.3849 4.3849 4.7955 90.00 90.00 90.00
With the nearest neighbours (Å) after each atom.
Space group P4/mmm (No. 123)
Asymmetric unit:
As 0.0000 0.0000 0.0000 (multiplicity 1)  2 N 2.40
W 0.5000 0.5000 0.0000 (multiplicity 1)  4 As 3.10, 8 Br 3.25
Br 0.0000 0.5000 0.5000 (multiplicity 2)  2 N 2.19
N 0.0000 0.0000 0.5000 (multiplicity 1)  4 Br 2.19, 2 As 2.40

***

#b
Below is a relaxed AsWBr2N crystal, with properties calculated at the PBE-GGA level.

- N(E_F) (states/eV/cell) = 2.50
- total magnetic moment (μB/atom) = 0.665

Lattice parameters (Å, degrees): 5.2002 5.2002 4.8524 90.00 90.00 90.00
With the nearest neighbours (Å) after each atom.
Space group P4/mmm (No. 123)
Asymmetric unit:
As 0.0000 0.0000 0.0000 (multiplicity 1)  2 W 2.43
W 0.0000 0.0000 0.5000 (multiplicity 1)  2 As 2.43, 4 Br 2.60
Br 0.0000 0.5000 0.5000 (multiplicity 2)  2 W 2.60
N 0.5000 0.5000 0.0000 (multiplicity 1)  8 Br 3.56, 4 As 3.68

***

Stability order, top to bottom: #b, #a